No. 1
Below is a relaxed structure of SrLaSb2I, with properties calculated at the PBEsol level.

Results
Uncorrected formation energy, eV/atom: -0.114
E_tot, eV per atom: -3.73

a = 5.8008 Å, b = 5.8008 Å, c = 5.8292 Å
α = 90.00°, β = 90.00°, γ = 90.00°
With the nearest neighbours (Å) after each atom.
Positions (direct):
1 I 0.0000 0.0000 0.5000  2 Sr 2.91
2 Sb 0.0000 0.5000 0.0000  2 Sr 2.90
3 Sb 0.5000 0.0000 0.0000  2 Sr 2.90
4 Sr 0.0000 0.0000 0.0000  4 Sb 2.90, 2 I 2.91
5 La 0.5000 0.5000 0.5000  4 I 4.10, 8 Sb 4.11


No. 2
Below is a relaxed structure of LaTcSb2I, with properties calculated at the PBEsol level.

Results
Uncorrected formation energy, eV/atom: 1.237
E_tot, eV per atom: -4.26

a = 5.9347 Å, b = 5.9787 Å, c = 5.9787 Å
α = 90.00°, β = 90.00°, γ = 90.00°
With the nearest neighbours (Å) after each atom.
Positions (direct):
1 I 0.5000 0.0000 0.0000  2 La 2.97
2 Sb 0.0000 0.0000 0.5000  2 La 2.99
3 Sb 0.0000 0.5000 0.0000  2 La 2.99
4 Tc 0.5000 0.5000 0.5000  8 Sb 4.21, 4 I 4.23
5 La 0.0000 0.0000 0.0000  2 I 2.97, 4 Sb 2.99


No. 3
Below is a relaxed structure of LaTcSbI2, with properties calculated at the PBEsol level.

Results
Uncorrected formation energy, eV/atom: 0.786
E_tot, eV per atom: -4.15

a = 6.0092 Å, b = 6.0092 Å, c = 6.2543 Å
α = 90.00°, β = 90.00°, γ = 90.00°
With the nearest neighbours (Å) after each atom.
Positions (direct):
1 I 0.0000 0.5000 0.0000  2 La 3.00
2 I 0.5000 0.0000 0.0000  2 La 3.00
3 Sb 0.0000 0.0000 0.5000  2 La 3.13
4 Tc 0.5000 0.5000 0.5000  4 Sb 4.25, 8 I 4.34
5 La 0.0000 0.0000 0.0000  4 I 3.00, 2 Sb 3.13


No. 4
Below is a relaxed structure of LaSc2I, with properties calculated at the PBEsol level.

Results
Uncorrected formation energy, eV/atom: 0.006
E_tot, eV per atom: -5.07

a = 3.4382 Å, b = 3.4382 Å, c = 10.9574 Å
α = 80.97°, β = 80.97°, γ = 60.00°
With the nearest neighbours (Å) after each atom.
Positions (direct):
1 I 0.5000 0.5000 0.5000  6 Sc 3.01
2 Sc 0.9033 0.9033 0.2901  3 I 3.01, 1 La 3.13
3 Sc 0.0967 0.0967 0.7099  3 I 3.01, 1 La 3.13
4 La 0.0000 0.0000 0.0000  2 Sc 3.13, 6 La 3.44


No. 5
Below is a relaxed structure of La2SeI, with properties calculated at the PBEsol level.

Results
Uncorrected formation energy, eV/atom: -0.940
E_tot, eV per atom: -5.02

a = 6.9423 Å, b = 6.9423 Å, c = 8.4393 Å
α = 114.29°, β = 114.29°, γ = 90.00°
With the nearest neighbours (Å) after each atom.
Positions (direct):
1 I 0.2500 0.7500 0.5000  4 La 3.15
2 I 0.0000 0.0000 0.0000  4 La 3.15
3 Se 0.7500 0.2500 0.5000  4 La 2.86
4 Se 0.5000 0.5000 0.0000  4 La 2.86
5 La 0.4111 0.8750 0.2500  2 Se 2.86, 2 I 3.15
6 La 0.8389 0.3750 0.2500  2 Se 2.86, 2 I 3.15
7 La 0.1250 0.1611 0.7500  2 Se 2.86, 2 I 3.15
8 La 0.6250 0.5889 0.7500  2 Se 2.86, 2 I 3.15


No. 6
Below is a relaxed structure of La2Se2I, with properties calculated at the PBEsol level.

Results
Uncorrected formation energy, eV/atom: -1.830
E_tot, eV per atom: -5.86

a = 3.8858 Å, b = 8.4213 Å, c = 8.4213 Å
α = 90.00°, β = 90.00°, γ = 90.00°
With the nearest neighbours (Å) after each atom.
Positions (direct):
1 I 0.0000 0.0000 0.0000  4 La 3.19
2 I 0.0000 0.5000 0.5000  4 La 3.19
3 Se 0.5000 0.1393 0.6393  6 La 3.14-3.15, 1 Se 3.32
4 Se 0.5000 0.6393 0.8607  6 La 3.14-3.15, 1 Se 3.32
5 Se 0.5000 0.8607 0.3607  6 La 3.14-3.15, 1 Se 3.32
6 Se 0.5000 0.3607 0.1393  6 La 3.14-3.15, 1 Se 3.32
7 La 0.0000 0.3470 0.8470  6 Se 3.14-3.15, 2 I 3.19
8 La 0.0000 0.8470 0.6530  6 Se 3.14-3.15, 2 I 3.19
9 La 0.0000 0.6530 0.1530  6 Se 3.14-3.15, 2 I 3.19
10 La 0.0000 0.1530 0.3470  6 Se 3.14-3.15, 2 I 3.19


No. 7
Below is a relaxed structure of La5Si5I3, with properties calculated at the PBEsol level.

Results
Uncorrected formation energy, eV/atom: -1.053
E_tot, eV per atom: -5.73

a = 4.1986 Å, b = 12.0925 Å, c = 15.6254 Å
α = 109.97°, β = 90.00°, γ = 100.00°
With the nearest neighbours (Å) after each atom.
Positions (direct):
1 La 0.3397 0.6794 0.9427  5 Si 3.02-3.09, 3 I 3.26-3.28
2 La 0.9141 0.8282 0.4374  8 Si 3.07-3.15, 1 I 3.30
3 La 0.0859 0.1718 0.5626  8 Si 3.07-3.15, 1 I 3.30
4 La 0.0180 0.0359 0.2904  4 Si 3.06-3.08, 3 I 3.30-3.31
5 La 0.9820 0.9641 0.7096  4 Si 3.06-3.08, 3 I 3.30-3.31
6 La 0.8361 0.6722 0.1659  9 Si 3.11-3.23, 1 I 3.33
7 La 0.7377 0.4754 0.3312  4 Si 3.06, 3 I 3.35-3.37
8 La 0.6603 0.3206 0.0573  5 Si 3.02-3.09, 3 I 3.26-3.28
9 La 0.1639 0.3278 0.8341  9 Si 3.11-3.23, 1 I 3.33
10 La 0.2623 0.5246 0.6688  4 Si 3.06, 3 I 3.35-3.37
11 Si 0.5088 0.0177 0.4272  2 Si 2.36-2.45
12 Si 0.4240 0.8481 0.2926  2 Si 2.36-2.45
13 Si 0.4912 0.9823 0.5728  2 Si 2.36-2.45
14 Si 0.7499 0.4998 0.9598  3 Si 2.43-2.45
15 Si 0.6720 0.3440 0.6818  2 Si 2.36-2.45
16 Si 0.2393 0.4787 0.1895  2 Si 2.36-2.43
17 Si 0.7607 0.5213 0.8105  2 Si 2.36-2.43
18 Si 0.3280 0.6560 0.3182  2 Si 2.36-2.45
19 Si 0.5760 0.1519 0.7074  2 Si 2.36-2.45
20 Si 0.2501 0.5002 0.0402  3 Si 2.43-2.45
21 I 0.5917 0.1835 0.2056  4 La 3.26-3.35
22 I 0.0597 0.1194 0.9313  4 La 3.28-3.33
23 I 0.9403 0.8806 0.0687  4 La 3.28-3.33
24 I 0.8273 0.6545 0.5627  5 La 3.30-3.60
25 I 0.4083 0.8165 0.7944  4 La 3.26-3.35
26 I 0.1727 0.3455 0.4373  5 La 3.30-3.60


No. 8
Below is a relaxed structure of LaSi2I, with properties calculated at the PBEsol level.

Results
Uncorrected formation energy, eV/atom: 0.271
E_tot, eV per atom: -4.38

a = 5.1595 Å, b = 5.1595 Å, c = 5.1595 Å
α = 60.00°, β = 60.00°, γ = 60.00°
With the nearest neighbours (Å) after each atom.
Positions (direct):
1 I 0.0000 0.0000 0.0000  8 Si 3.16
2 Si 0.2500 0.2500 0.2500  4 La 3.16, 4 I 3.16
3 Si 0.7500 0.7500 0.7500  4 La 3.16, 4 I 3.16
4 La 0.5000 0.5000 0.5000  8 Si 3.16


No. 9
Below is a relaxed structure of La4SiI5, with properties calculated at the PBEsol level.

Results
Uncorrected formation energy, eV/atom: -1.311
E_tot, eV per atom: -4.91

a = 4.3145 Å, b = 9.0420 Å, c = 9.9291 Å
α = 102.52°, β = 102.55°, γ = 90.00°
With the nearest neighbours (Å) after each atom.
Positions (direct):
1 La 0.1526 0.0738 0.3051  1 Si 2.88, 2 I 3.21
2 La 0.8474 0.9262 0.6949  1 Si 2.88, 2 I 3.21
3 La 0.5009 0.2208 0.0018  2 Si 2.94, 2 I 3.22-3.26
4 La 0.4991 0.7792 0.9982  2 Si 2.94, 2 I 3.22-3.26
5 Si 0.0000 0.0000 0.0000  6 La 2.88-2.94
6 I 0.3296 0.1844 0.6593  4 La 3.25-3.36
7 I 0.6704 0.8156 0.3407  4 La 3.25-3.36
8 I 0.3297 0.6577 0.6593  3 La 3.21-3.22
9 I 0.6703 0.3423 0.3407  3 La 3.21-3.22
10 I 0.0000 0.5000 0.0000  4 La 3.32


No. 10
Below is a relaxed structure of LaSiTe2I, with properties calculated at the PBEsol level.

Results
Uncorrected formation energy, eV/atom: 0.220
E_tot, eV per atom: -3.76

a = 5.9668 Å, b = 6.0989 Å, c = 6.0989 Å
α = 90.00°, β = 90.00°, γ = 90.00°
With the nearest neighbours (Å) after each atom.
Positions (direct):
1 I 0.5000 0.0000 0.0000  2 La 2.98
2 Si 0.5000 0.5000 0.5000  8 Te 4.27, 4 I 4.31
3 Te 0.0000 0.0000 0.5000  2 La 3.05
4 Te 0.0000 0.5000 0.0000  2 La 3.05
5 La 0.0000 0.0000 0.0000  2 I 2.98, 4 Te 3.05


No. 11
Below is a relaxed structure of La2TcI, with properties calculated at the PBEsol level.

Results
Uncorrected formation energy, eV/atom: -0.009
E_tot, eV per atom: -5.94

a = 5.2713 Å, b = 5.2713 Å, c = 5.2713 Å
α = 60.00°, β = 60.00°, γ = 60.00°
With the nearest neighbours (Å) after each atom.
Positions (direct):
1 I 0.5000 0.5000 0.5000  8 La 3.23
2 Tc 0.0000 0.0000 0.0000  8 La 3.23
3 La 0.2500 0.2500 0.2500  4 Tc 3.23, 4 I 3.23
4 La 0.7500 0.7500 0.7500  4 Tc 3.23, 4 I 3.23


No. 12
Below is a relaxed structure of La2TeI, with properties calculated at the PBEsol level.

Results
Uncorrected formation energy, eV/atom: -1.331
E_tot, eV per atom: -5.33

a = 5.4777 Å, b = 5.4777 Å, c = 5.4777 Å
α = 60.00°, β = 60.00°, γ = 60.00°
With the nearest neighbours (Å) after each atom.
Positions (direct):
1 I 0.5000 0.5000 0.5000  8 La 3.35
2 Te 0.0000 0.0000 0.0000  8 La 3.35
3 La 0.2500 0.2500 0.2500  4 Te 3.35, 4 I 3.35
4 La 0.7500 0.7500 0.7500  4 Te 3.35, 4 I 3.35